First-principles (PBE) data for an optimized crystal structure of Na2Sc2AlGaPd2, as listed in OQMD.

Properties
The total energy is -35.23 eV/cell.

Geometry as CIF:
```
data_Na2Sc2AlGaPd2
_chemical_formula_sum 'Na2 Sc2 Al1 Ga1 Pd2'
_cell_length_a 4.6593
_cell_length_b 4.6593
_cell_length_c 6.6015
_cell_angle_alpha 90.00
_cell_angle_beta 90.00
_cell_angle_gamma 90.00
_space_group_name_H-M_alt 'P 1'
_space_group_IT_number 1
_space_group_name_Hall 'P 1'
loop_
_atom_site_label
_atom_site_fract_x
_atom_site_fract_y
_atom_site_fract_z
Ga1 0.5000 0.5000 0.5000
Pd1 0.0000 0.5000 0.2442
Pd2 0.5000 0.0000 0.7558
Sc1 0.0000 0.0000 0.5000
Sc2 0.5000 0.5000 0.0000
Na1 0.5000 0.0000 0.2536
Na2 0.0000 0.5000 0.7464
Al1 0.0000 0.0000 0.0000
```